No. 1
Sc2NiGe: relaxed, PBE.

Summary:
M_tot: 0.00 μB/cell
Energy of formation: -592 meV per atom

CIF file:
```
data_Sc2NiGe
_chemical_formula_sum 'Sc2 Ni1 Ge1'
_space_group_name_H-M_alt 'P 4/m m m'
_space_group_IT_number 123
_space_group_name_Hall '-P 4 2'
_cell_length_a 4.440
_cell_length_b 4.440
_cell_length_c 3.526
_cell_angle_alpha 90.00
_cell_angle_beta 90.00
_cell_angle_gamma 90.00
loop_
_atom_site_label
_atom_site_type_symbol
_atom_site_fract_x
_atom_site_fract_y
_atom_site_fract_z
_atom_site_occupancy
Sc1 Sc 0.000 0.500 0.000 1
Ni1 Ni 0.000 0.000 0.500 1
Ge1 Ge 0.500 0.500 0.500 1
```

No. 2
ScNiGe2: relaxed, PBE.

Summary:
M_tot: 0.00 μB/cell
Energy of formation: -609 meV per atom

CIF file:
```
data_ScNiGe2
_chemical_formula_sum 'Sc8 Ni8 Ge16'
_space_group_name_H-M_alt 'I m m m'
_space_group_IT_number 71
_space_group_name_Hall '-I 2 2'
_cell_length_a 4.043
_cell_length_b 8.371
_cell_length_c 15.628
_cell_angle_alpha 90.00
_cell_angle_beta 90.00
_cell_angle_gamma 90.00
loop_
_atom_site_label
_atom_site_type_symbol
_atom_site_fract_x
_atom_site_fract_y
_atom_site_fract_z
_atom_site_occupancy
Sc1 Sc 0.000 0.000 0.202 1
Sc2 Sc 0.000 0.231 0.000 1
Ni1 Ni 0.000 0.252 0.353 1
Ge1 Ge 0.000 0.000 0.421 1
Ge2 Ge 0.000 0.342 0.199 1
Ge3 Ge 0.000 0.500 0.422 1
```

No. 3
Sc2Ni3Ge4: relaxed, PBE.

Summary:
M_tot: 0.00 μB/cell
Energy of formation: -605 meV per atom

CIF file:
```
data_Sc2Ni3Ge4
_chemical_formula_sum 'Sc8 Ni12 Ge16'
_space_group_name_H-M_alt 'C m c e'
_space_group_IT_number 64
_space_group_name_Hall '-C 2ac 2'
_cell_length_a 5.455
_cell_length_b 14.057
_cell_length_c 7.074
_cell_angle_alpha 90.00
_cell_angle_beta 90.00
_cell_angle_gamma 90.00
loop_
_atom_site_label
_atom_site_type_symbol
_atom_site_fract_x
_atom_site_fract_y
_atom_site_fract_z
_atom_site_occupancy
Sc1 Sc 0.000 0.109 0.093 1
Ni1 Ni 0.000 0.000 0.500 1
Ni2 Ni 0.250 0.228 0.750 1
Ge1 Ge 0.000 0.182 0.471 1
Ge2 Ge 0.250 0.058 0.750 1
```

No. 4
ScNi12Ge6: relaxed, PBE.

Summary:
M_tot: 0.00 μB/cell
Energy of formation: -213 meV per atom

CIF file:
```
data_ScNi12Ge6
_chemical_formula_sum 'Sc3 Ni36 Ge18'
_space_group_name_H-M_alt 'R -3 m'
_space_group_IT_number 166
_space_group_name_Hall '-R 3 2"'
_cell_length_a 10.6467
_cell_length_b 10.6467
_cell_length_c 7.8538
_cell_angle_alpha 90.00
_cell_angle_beta 90.00
_cell_angle_gamma 120.00
loop_
_atom_site_label
_atom_site_type_symbol
_atom_site_fract_x
_atom_site_fract_y
_atom_site_fract_z
_atom_site_occupancy
Sc1 Sc 0.0000 0.0000 0.0000 1
Ni1 Ni 0.0000 0.3822 0.5000 1
Ni2 Ni 0.0828 0.1656 0.3162 1
Ge1 Ge 0.0388 0.5194 0.2546 1
```

No. 5
ScNi4Ge: relaxed, PBE.

Summary:
M_tot: 0.00 μB/cell
Energy of formation: -365 meV per atom

CIF file:
```
data_ScNi4Ge
_chemical_formula_sum 'Sc4 Ni16 Ge4'
_space_group_name_H-M_alt 'C m c m'
_space_group_IT_number 63
_space_group_name_Hall '-C 2c 2'
_cell_length_a 3.514
_cell_length_b 14.625
_cell_length_c 6.244
_cell_angle_alpha 90.00
_cell_angle_beta 90.00
_cell_angle_gamma 90.00
loop_
_atom_site_label
_atom_site_type_symbol
_atom_site_fract_x
_atom_site_fract_y
_atom_site_fract_z
_atom_site_occupancy
Sc1 Sc 0.000 0.098 0.250 1
Ni1 Ni 0.000 0.076 0.750 1
Ni2 Ni 0.000 0.330 0.053 1
Ni3 Ni 0.000 0.500 0.000 1
Ge1 Ge 0.000 0.241 0.750 1
```

No. 6
Sc5Ni2Ge: relaxed, PBE.

Summary:
M_tot: 0.00 μB/cell
Energy of formation: -518 meV per atom

CIF file:
```
data_Sc5Ni2Ge
_chemical_formula_sum 'Sc20 Ni8 Ge4'
_space_group_name_H-M_alt 'I 4/m c m'
_space_group_IT_number 140
_space_group_name_Hall '-I 4 2c'
_cell_length_a 7.041
_cell_length_b 7.041
_cell_length_c 12.229
_cell_angle_alpha 90.00
_cell_angle_beta 90.00
_cell_angle_gamma 90.00
loop_
_atom_site_label
_atom_site_type_symbol
_atom_site_fract_x
_atom_site_fract_y
_atom_site_fract_z
_atom_site_occupancy
Sc1 Sc 0.000 0.000 0.000 1
Sc2 Sc 0.160 0.340 0.143 1
Ni1 Ni 0.129 0.371 0.500 1
Ge1 Ge 0.000 0.000 0.250 1
```

No. 7
Sc3NiGe3: relaxed, PBE.

Summary:
M_tot: 0.00 μB/cell
Energy of formation: -823 meV per atom

CIF file:
```
data_Sc3NiGe3
_chemical_formula_sum 'Sc12 Ni4 Ge12'
_space_group_name_H-M_alt 'C 1 2/m 1'
_space_group_IT_number 12
_space_group_name_Hall '-C 2y'
_cell_length_a 10.018
_cell_length_b 4.047
_cell_length_c 13.105
_cell_angle_alpha 90.00
_cell_angle_beta 109.73
_cell_angle_gamma 90.00
loop_
_atom_site_label
_atom_site_type_symbol
_atom_site_fract_x
_atom_site_fract_y
_atom_site_fract_z
_atom_site_occupancy
Sc1 Sc 0.028 0.000 0.381 1
Sc2 Sc 0.097 0.000 0.921 1
Sc3 Sc 0.239 0.000 0.227 1
Ni1 Ni 0.240 0.500 0.399 1
Ge1 Ge 0.030 0.500 0.237 1
Ge2 Ge 0.128 0.500 0.076 1
Ge3 Ge 0.137 0.500 0.548 1
```

No. 8
ScNi2Ge: relaxed, PBE.

Summary:
M_tot: 0.00 μB/cell
Energy of formation: -166 meV per atom

CIF file:
```
data_ScNi2Ge
_chemical_formula_sum 'Sc4 Ni8 Ge4'
_space_group_name_H-M_alt 'I -4 2 d'
_space_group_IT_number 122
_space_group_name_Hall 'I -4 2bw'
_cell_length_a 3.930
_cell_length_b 3.930
_cell_length_c 16.537
_cell_angle_alpha 90.00
_cell_angle_beta 90.00
_cell_angle_gamma 90.00
loop_
_atom_site_label
_atom_site_type_symbol
_atom_site_fract_x
_atom_site_fract_y
_atom_site_fract_z
_atom_site_occupancy
Sc1 Sc 0.000 0.000 0.000 1
Ni1 Ni 0.188 0.250 0.625 1
Ge1 Ge 0.000 0.000 0.500 1
```

No. 9
ScNiGe2: relaxed, PBE.

Summary:
M_tot: 0.00 μB/cell
Energy of formation: -423 meV per atom

CIF file:
```
data_ScNiGe2
_chemical_formula_sum 'Sc1 Ni1 Ge2'
_space_group_name_H-M_alt 'P 4/m m m'
_space_group_IT_number 123
_space_group_name_Hall '-P 4 2'
_cell_length_a 4.023
_cell_length_b 4.023
_cell_length_c 3.899
_cell_angle_alpha 90.00
_cell_angle_beta 90.00
_cell_angle_gamma 90.00
loop_
_atom_site_label
_atom_site_type_symbol
_atom_site_fract_x
_atom_site_fract_y
_atom_site_fract_z
_atom_site_occupancy
Sc1 Sc 0.000 0.000 0.000 1
Ni1 Ni 0.500 0.500 0.000 1
Ge1 Ge 0.000 0.500 0.500 1
```

No. 10
Sc2Ni3Ge5: relaxed, PBE.

Summary:
M_tot: 0.00 μB/cell
Energy of formation: -536 meV per atom

CIF file:
```
data_Sc2Ni3Ge5
_chemical_formula_sum 'Sc8 Ni12 Ge20'
_space_group_name_H-M_alt 'C m c 21'
_space_group_IT_number 36
_space_group_name_Hall 'C 2c -2'
_cell_length_a 4.013
_cell_length_b 23.468
_cell_length_c 6.601
_cell_angle_alpha 90.00
_cell_angle_beta 90.00
_cell_angle_gamma 90.00
loop_
_atom_site_label
_atom_site_type_symbol
_atom_site_fract_x
_atom_site_fract_y
_atom_site_fract_z
_atom_site_occupancy
Sc1 Sc 0.000 0.023 0.000 1
Sc2 Sc 0.000 0.327 0.997 1
Ni1 Ni 0.000 0.104 0.733 1
Ni2 Ni 0.000 0.278 0.527 1
Ni3 Ni 0.000 0.448 0.780 1
Ge1 Ge 0.000 0.096 0.366 1
Ge2 Ge 0.000 0.203 0.804 1
Ge3 Ge 0.000 0.213 0.228 1
Ge4 Ge 0.000 0.383 0.486 1
Ge5 Ge 0.000 0.453 0.163 1
```

No. 11
Sc2NiGe: relaxed, PBE.

Summary:
M_tot: 0.00 μB/cell
Energy of formation: -710 meV per atom

CIF file:
```
data_Sc2NiGe
_chemical_formula_sum 'Sc4 Ni2 Ge2'
_space_group_name_H-M_alt 'P 1 21/m 1'
_space_group_IT_number 11
_space_group_name_Hall '-P 2yb'
_cell_length_a 5.430
_cell_length_b 4.020
_cell_length_c 7.064
_cell_angle_alpha 90.00
_cell_angle_beta 110.31
_cell_angle_gamma 90.00
loop_
_atom_site_label
_atom_site_type_symbol
_atom_site_fract_x
_atom_site_fract_y
_atom_site_fract_z
_atom_site_occupancy
Sc1 Sc 0.207 0.250 0.442 1
Sc2 Sc 0.224 0.250 0.911 1
Ni1 Ni 0.363 0.750 0.711 1
Ge1 Ge 0.331 0.750 0.210 1
```

No. 12
ScNi3Ge: relaxed, PBE.

Summary:
M_tot: 1.64 μB/cell
Energy of formation: 137 meV per atom

CIF file:
```
data_ScNi3Ge
_chemical_formula_sum 'Sc4 Ni12 Ge4'
_space_group_name_H-M_alt 'C m c m'
_space_group_IT_number 63
_space_group_name_Hall '-C 2c 2'
_cell_length_a 6.664
_cell_length_b 10.993
_cell_length_c 4.461
_cell_angle_alpha 90.00
_cell_angle_beta 90.00
_cell_angle_gamma 90.00
loop_
_atom_site_label
_atom_site_type_symbol
_atom_site_fract_x
_atom_site_fract_y
_atom_site_fract_z
_atom_site_occupancy
Sc1 Sc 0.000 0.073 0.250 1
Ni1 Ni 0.000 0.500 0.000 1
Ni2 Ni 0.171 0.166 0.750 1
Ge1 Ge 0.000 0.308 0.250 1
```